{"formula": "Li2CoCu2", "functional": "PBE", "state": "optimized geometry", "lattice_angstrom": [[-0.457, 1.773, 2.678], [0.916, -2.520, 1.825], [6.126, 1.567, 1.973]], "species": ["Co", "Cu", "Cu", "Li", "Li"], "fractional_positions": [[0.000, 0.000, 0.000], [0.406, 0.406, 0.188], [0.594, 0.594, 0.812], [0.750, 0.250, 0.500], [0.250, 0.750, 0.500]], "e_above_lowest_polymorph_ev_per_fu": 0.97, "dft_energy_ev_per_atom": -3.392, "ef_ev_per_atom": 0.43}

---

{"formula": "LiCoCu", "functional": "PBE", "state": "optimized geometry", "lattice_angstrom": [[6.255, 0.002, 0.000], [5.292, 3.335, 0.000], [-5.774, -1.669, 1.735]], "species": ["Co", "Cu", "Li"], "fractional_positions": [[0.996, 0.996, 0.000], [0.338, 0.338, 0.000], [0.666, 0.666, 0.000]], "e_above_lowest_polymorph_ev_per_fu": 0.08, "dft_energy_ev_per_atom": -4.243, "ef_ev_per_atom": 0.13}

---

{"formula": "LiCoCu", "functional": "PBE", "state": "optimized geometry", "lattice_angstrom": [[-1.539, -0.716, -1.845], [2.478, 0.033, -0.377], [0.398, -6.193, 2.071]], "species": ["Co", "Cu", "Li"], "fractional_positions": [[0.000, 0.000, 0.002], [0.333, 0.667, 0.329], [0.667, 0.333, 0.670]], "e_above_lowest_polymorph_ev_per_fu": 0.00, "dft_energy_ev_per_atom": -4.269, "ef_ev_per_atom": 0.10}

---

| no. | total magnetic moment (μB per cell) |
| --- | --- |
| 1 | 1.720 |
| 2 | 1.572 |
| 3 | 1.385 |